A plane-wave DFT calculation with GGA-PBE was carried out for crystalline La4AlPCl2 at its relaxed geometry.

Cell lengths 7.459, 4.220, 7.619 Å; angles 90.00, 109.16, 90.00 degrees
Fractional coordinates of all 8 atoms:
La1 0.231 0.000 0.233
La2 0.246 0.500 0.765
La3 0.754 0.500 0.235
La4 0.769 0.000 0.767
Al1 0.000 0.000 0.500
P1 0.000 0.500 0.000
Cl1 0.500 0.000 0.000
Cl2 0.500 0.500 0.500

magnetization = 0.00 μB per formula unit
calculated volume = 28.32 Å³ per atom
E_form (uncorrected) = -1.2845 eV/atom

=====

A plane-wave DFT calculation with GGA-PBE was carried out for crystalline NaTlI3 at its relaxed geometry.

Cell lengths 6.198, 6.198, 6.198 Å; angles 90.00, 90.00, 90.00 degrees
Fractional coordinates of all 5 atoms:
Na1 0.000 0.000 0.000
Tl1 0.500 0.500 0.500
I1 0.000 0.500 0.500
I2 0.500 0.000 0.500
I3 0.500 0.500 0.000

ΔE to the lowest computed polymorph = 0.132 eV/atom
magnetization = 0.00 μB per formula unit
calculated volume = 47.62 Å³ per atom
E_form (uncorrected) = -0.5306 eV/atom

=====

A plane-wave DFT calculation with GGA-PBE was carried out for crystalline Li3Ge5O12 at its relaxed geometry.

Cell lengths 10.385, 10.385, 10.385 Å; angles 109.47, 109.47, 109.47 degrees
Fractional coordinates of all 80 atoms:
Li1 0.125 0.250 0.375
Li2 0.125 0.375 0.750
Li3 0.250 0.375 0.125
Li4 0.250 0.875 0.625
Li5 0.375 0.125 0.250
Li6 0.375 0.750 0.125
Li7 0.625 0.250 0.875
Li8 0.625 0.875 0.750
Li9 0.750 0.125 0.375
Li10 0.750 0.625 0.875
Li11 0.875 0.625 0.250
Li12 0.875 0.750 0.625
Ge1 0.000 0.000 0.000
Ge2 0.000 0.000 0.500
Ge3 0.000 0.500 0.000
Ge4 0.000 0.500 0.500
Ge5 0.125 0.750 0.875
Ge6 0.125 0.875 0.250
Ge7 0.250 0.125 0.875
Ge8 0.250 0.625 0.375
Ge9 0.375 0.250 0.625
Ge10 0.375 0.625 0.750
Ge11 0.500 0.000 0.000
Ge12 0.500 0.000 0.500
Ge13 0.500 0.500 0.000
Ge14 0.500 0.500 0.500
Ge15 0.625 0.375 0.250
Ge16 0.625 0.750 0.375
Ge17 0.750 0.375 0.625
Ge18 0.750 0.875 0.125
Ge19 0.875 0.125 0.750
Ge20 0.875 0.250 0.125
O1 0.020 0.197 0.120
O2 0.020 0.322 0.900
O3 0.078 0.697 0.678
O4 0.078 0.880 0.400
O5 0.100 0.620 0.422
O6 0.100 0.980 0.678
O7 0.120 0.020 0.197
O8 0.120 0.600 0.922
O9 0.178 0.197 0.578
O10 0.178 0.480 0.600
O11 0.197 0.120 0.020
O12 0.197 0.578 0.178
O13 0.303 0.322 0.922
O14 0.303 0.480 0.380
O15 0.322 0.900 0.020
O16 0.322 0.922 0.303
O17 0.380 0.303 0.480
O18 0.380 0.578 0.900
O19 0.400 0.078 0.880
O20 0.400 0.822 0.520
O21 0.422 0.100 0.620
O22 0.422 0.822 0.803
O23 0.480 0.380 0.303
O24 0.480 0.600 0.178
O25 0.520 0.400 0.822
O26 0.520 0.620 0.697
O27 0.578 0.178 0.197
O28 0.578 0.900 0.380
O29 0.600 0.178 0.480
O30 0.600 0.922 0.120
O31 0.620 0.422 0.100
O32 0.620 0.697 0.520
O33 0.678 0.078 0.697
O34 0.678 0.100 0.980
O35 0.697 0.520 0.620
O36 0.697 0.678 0.078
O37 0.803 0.422 0.822
O38 0.803 0.880 0.980
O39 0.822 0.520 0.400
O40 0.822 0.803 0.422
O41 0.880 0.400 0.078
O42 0.880 0.980 0.803
O43 0.900 0.020 0.322
O44 0.900 0.380 0.578
O45 0.922 0.120 0.600
O46 0.922 0.303 0.322
O47 0.980 0.678 0.100
O48 0.980 0.803 0.880

magnetization = 0.88 μB per formula unit
calculated volume = 10.78 Å³ per atom
E_form (uncorrected) = -1.6458 eV/atom

=====

A plane-wave DFT calculation with GGA-PBE was carried out for crystalline Ac4CuSiI2 at its relaxed geometry.

Cell lengths 8.119, 4.456, 8.499 Å; angles 90.00, 106.80, 90.00 degrees
Fractional coordinates of all 8 atoms:
Ac1 0.225 0.000 0.195
Ac2 0.268 0.500 0.796
Ac3 0.732 0.500 0.204
Ac4 0.775 0.000 0.805
Cu1 0.000 0.500 0.000
Si1 0.500 0.000 0.000
I1 0.000 0.000 0.500
I2 0.500 0.500 0.500

magnetization = 0.00 μB per formula unit
calculated volume = 36.79 Å³ per atom
E_form (uncorrected) = -0.7091 eV/atom

=====

A plane-wave DFT calculation with GGA-PBE was carried out for crystalline Fe3CoSi at its relaxed geometry.

Cell lengths 4.292, 4.292, 4.292 Å; angles 90.00, 90.00, 90.00 degrees
Fractional coordinates of all 5 atoms:
Fe1 0.000 0.000 0.500
Fe2 0.000 0.500 0.000
Fe3 0.500 0.000 0.000
Co1 0.000 0.000 0.000
Si1 0.500 0.500 0.500

ΔE to the lowest computed polymorph = 0.133 eV/atom
magnetization = 10.13 μB per formula unit
calculated volume = 15.81 Å³ per atom
E_form (uncorrected) = 0.9924 eV/atom

=====

A plane-wave DFT calculation with GGA-PBE was carried out for crystalline La4NdTm10 at its relaxed geometry.

Cell lengths 8.702, 8.702, 8.702 Å; angles 112.34, 112.34, 103.88 degrees
Fractional coordinates of all 15 atoms:
La1 0.067 0.336 0.403
La2 0.336 0.933 0.269
La3 0.664 0.067 0.731
La4 0.933 0.664 0.597
Nd1 0.000 0.000 0.000
Tm1 0.132 0.456 0.906
Tm2 0.226 0.132 0.676
Tm3 0.250 0.750 0.500
Tm4 0.450 0.774 0.906
Tm5 0.456 0.550 0.324
Tm6 0.544 0.450 0.676
Tm7 0.550 0.226 0.094
Tm8 0.750 0.250 0.500
Tm9 0.774 0.868 0.324
Tm10 0.868 0.544 0.094

E_tot = -4.255 eV per atom
magnetization = 0.00 μB per formula unit
calculated volume = 33.57 Å³ per atom

=====

A plane-wave DFT calculation with GGA-PBE was carried out for crystalline Ho2Al8Pt at its relaxed geometry.

Cell lengths 4.282, 4.282, 11.174 Å; angles 90.00, 90.00, 90.00 degrees
Fractional coordinates of all 11 atoms:
Ho1 0.000 0.000 0.188
Ho2 0.000 0.000 0.812
Al1 0.000 0.500 0.000
Al2 0.000 0.500 0.374
Al3 0.000 0.500 0.626
Al4 0.500 0.000 0.000
Al5 0.500 0.000 0.374
Al6 0.500 0.000 0.626
Al7 0.500 0.500 0.195
Al8 0.500 0.500 0.805
Pt1 0.000 0.000 0.500

E_tot = -4.661 eV per atom
magnetization = 0.00 μB per formula unit
calculated volume = 18.63 Å³ per atom

=====

A plane-wave DFT calculation with GGA-PBE was carried out for crystalline LaNdCl4 at its relaxed geometry.

Cell lengths 6.888, 7.914, 6.289 Å; angles 90.00, 104.96, 90.00 degrees
Fractional coordinates of all 12 atoms:
La1 0.000 0.000 0.000
La2 0.000 0.500 0.500
Nd1 0.500 0.000 0.500
Nd2 0.500 0.500 0.000
Cl1 0.147 0.152 0.643
Cl2 0.147 0.348 0.143
Cl3 0.370 0.673 0.587
Cl4 0.370 0.827 0.087
Cl5 0.630 0.173 0.913
Cl6 0.630 0.327 0.413
Cl7 0.853 0.652 0.857
Cl8 0.853 0.848 0.357

magnetization = 0.00 μB per formula unit
calculated volume = 27.60 Å³ per atom
E_form (uncorrected) = -1.8919 eV/atom